A.
DFT (PBE) results for an optimized crystal structure of TlSbSN2.

The structure belongs to space group P4/mmm (No. 123); the cell edges are 4.277, 4.277 and 5.459 Å and the angles 90.00°, 90.00° and 90.00°. The distinct sites, in fractional coordinates, are Tl at (0.000, 0.000, 0.000), Sb at (0.500, 0.500, 0.500), S at (0.000, 0.000, 0.500) and N at (0.000, 0.500, 0.000).

***

B.
DFT (PBE) results for an optimized crystal structure of TlSbSN2.

The structure belongs to space group P4/mmm (No. 123); the cell edges are 4.063, 4.063 and 5.466 Å and the angles 90.00°, 90.00° and 90.00°. The distinct sites, in fractional coordinates, are Tl at (0.000, 0.000, 0.000), Sb at (0.500, 0.500, 0.500), S at (0.500, 0.500, 0.000) and N at (0.000, 0.500, 0.500).

***

Here is how they stack up, most stable first: B, A.

***

A.
DFT (PBE) results for an optimized crystal structure of TlSbS2N.

The structure belongs to space group P4/mmm (No. 123); the cell edges are 5.181, 5.181 and 4.132 Å and the angles 90.00°, 90.00° and 90.00°. The distinct sites, in fractional coordinates, are Tl at (0.000, 0.000, 0.000), Sb at (0.500, 0.500, 0.500), S at (0.000, 0.500, 0.000) and N at (0.000, 0.000, 0.500).

***

B.
DFT (PBE) results for an optimized crystal structure of TlSbS2N.

The structure belongs to space group P4/mmm (No. 123); the cell edges are 5.157, 5.157 and 4.039 Å and the angles 90.00°, 90.00° and 90.00°. The distinct sites, in fractional coordinates, are Tl at (0.000, 0.000, 0.000), Sb at (0.500, 0.500, 0.500), S at (0.000, 0.500, 0.500) and N at (0.500, 0.500, 0.000).

***

Here is how they stack up, most stable first: B, A.

***

A.
DFT (PBE) results for an optimized crystal structure of SbWSN2.

The structure belongs to space group P4/mmm (No. 123); the cell edges are 3.984, 3.984 and 4.917 Å and the angles 90.00°, 90.00° and 90.00°. The distinct sites, in fractional coordinates, are Sb at (0.000, 0.000, 0.000), W at (0.500, 0.500, 0.500), S at (0.500, 0.500, 0.000) and N at (0.000, 0.500, 0.500).

***

B.
DFT (PBE) results for an optimized crystal structure of SbWSN2.

The structure belongs to space group P4/mmm (No. 123); the cell edges are 3.999, 3.999 and 4.991 Å and the angles 90.00°, 90.00° and 90.00°. The distinct sites, in fractional coordinates, are Sb at (0.000, 0.000, 0.000), W at (0.500, 0.500, 0.500), S at (0.000, 0.000, 0.500) and N at (0.000, 0.500, 0.000).

***

Here is how they stack up, most stable first: A, B.